# 1
TbNi4Bi | PBE | optimized geometry

POSCAR file:
```
TbNi4Bi
1.0
0.000 3.590 3.590
3.590 0.000 3.590
3.590 3.590 0.000
Tb Ni Bi
1 4 1
Cartesian
0.000 0.000 0.000
4.493 2.687 2.687
2.687 4.493 2.687
2.687 2.687 4.493
4.493 4.493 4.493
1.795 1.795 1.795
```

Values from the calculation:
space-group type	F-43m, No. 216
E_form	-0.235	eV/atom
Fermi-level density of states	5.43	states/eV per cell

# 2
NaMgTeAs2 | PBE | optimized geometry

POSCAR file:
```
NaMgTeAs2
1.0
5.058 0.000 0.000
0.000 5.058 0.000
0.000 0.000 5.207
Na Mg Te As
1 1 1 2
Cartesian
0.000 0.000 0.000
0.000 0.000 2.603
2.529 2.529 2.603
0.000 2.529 0.000
2.529 0.000 0.000
```

Values from the calculation:
space-group type	P4/mmm, No. 123
E_form (uncorrected)	3.70	eV per formula unit
Fermi-level density of states	2.94	states/eV per cell

# 3
TmNpCdO6 | PBE | optimized geometry

POSCAR file:
```
TmNpCdO6
1.0
5.083 0.000 0.000
0.000 5.083 0.000
0.000 0.000 10.163
Tm Np Cd O
2 2 2 12
Cartesian
0.000 0.000 0.000
2.542 2.542 5.081
0.000 0.000 6.749
2.542 2.542 1.668
0.000 0.000 3.355
2.542 2.542 8.436
0.915 0.915 8.320
0.980 0.980 5.257
1.106 1.106 1.610
1.436 3.647 6.692
1.561 3.522 0.176
1.627 3.456 3.239
3.456 1.627 3.239
3.522 1.561 0.176
3.647 1.436 6.692
3.978 3.978 1.610
4.103 4.103 5.257
4.168 4.168 8.320
```

Values from the calculation:
space-group type	P4_2nm, No. 102
E_form (uncorrected)	-22.78	eV per formula unit

# 4
Pm12Ga6C | PBE | optimized geometry

POSCAR file:
```
Pm12Ga6C
1.0
5.965 3.444 4.369
-5.965 3.444 4.369
0.000 -6.887 4.369
Pm Ga C
12 6 1
Cartesian
-3.974 -3.848 7.260
-5.319 1.518 5.847
-2.129 -0.372 5.077
1.345 -5.365 5.847
1.387 -1.657 5.077
-0.742 -2.030 8.030
0.742 2.030 5.077
-1.387 1.657 8.030
-1.345 5.365 7.260
2.129 0.372 8.030
5.319 -1.518 7.260
3.974 3.848 5.847
-1.197 -3.372 5.372
-3.519 -0.649 7.735
-2.322 2.723 5.372
2.322 -2.723 7.735
3.519 0.649 5.372
1.197 3.372 7.735
0.000 0.000 0.000
```

Values from the calculation:
space-group type	R-3, No. 148
E_form	-0.338	eV/atom
Fermi-level density of states	17.99	states/eV per cell

# 5
Pu2HI3 | PBE | optimized geometry

POSCAR file:
```
Pu2HI3
1.0
9.486 -2.084 0.000
9.486 2.084 0.000
-6.386 0.000 10.196
Pu H I
4 2 6
Cartesian
-1.591 0.000 4.695
5.567 0.000 2.172
7.019 0.000 8.024
14.176 0.000 5.501
-2.777 0.000 6.751
15.363 0.000 3.445
3.019 0.000 0.073
2.922 0.000 3.884
3.844 0.000 7.737
8.741 0.000 2.459
9.663 0.000 6.312
9.566 0.000 10.123
```

Values from the calculation:
space-group type	C2/m, No. 12
Fermi-level density of states	44.14	states/eV per cell

# 6
RbPmVS4 | PBE | optimized geometry

POSCAR file:
```
RbPmVS4
1.0
6.657 0.000 0.000
0.000 6.667 0.000
-2.780 0.000 8.702
Rb Pm V S
2 2 2 8
Cartesian
0.322 1.667 3.812
3.556 5.000 4.891
-0.806 1.667 8.296
4.683 5.000 0.406
1.327 5.000 1.470
2.550 1.667 7.232
-0.401 5.000 2.815
-2.058 5.000 8.075
1.115 3.339 6.920
1.115 6.661 6.920
2.762 0.006 1.782
2.762 3.327 1.782
5.935 1.667 0.627
4.278 1.667 5.887
```

Values from the calculation:
space-group type	P2_1/m, No. 11
E_form (uncorrected)	-9.69	eV per formula unit
Fermi-level density of states	9.46	states/eV per cell

# 7
In5Cu | PBE | optimized geometry

POSCAR file:
```
In5Cu
1.0
0.000 4.337 4.337
4.337 0.000 4.337
4.337 4.337 0.000
In Cu
5 1
Cartesian
0.000 0.000 0.000
5.417 3.256 3.256
3.256 5.417 3.256
3.256 3.256 5.417
5.417 5.417 5.417
2.168 2.168 2.168
```

Values from the calculation:
space-group type	F-43m, No. 216
E_form	0.359	eV/atom
Fermi-level density of states	3.20	states/eV per cell

# 8
Np2GePd | PBE | optimized geometry

POSCAR file:
```
Np2GePd
1.0
3.862 0.000 0.000
0.000 3.862 0.000
0.000 0.000 5.530
Np Ge Pd
2 1 1
Cartesian
0.000 0.000 1.350
0.000 0.000 4.181
1.931 1.931 0.000
1.931 1.931 2.765
```

Values from the calculation:
space-group type	P4/mmm, No. 123
E_form	-0.213	eV/atom
Fermi-level density of states	10.84	states/eV per cell

Number 1: total energy -5.508 eV/atom. Number 2: total energy -2.331 eV/atom. Number 3: total energy -7.873 eV/atom. Number 4: total energy -4.780 eV/atom. Number 5: total energy -6.932 eV/atom. Number 6: total energy -5.862 eV/atom. Number 7: total energy -2.605 eV/atom. Number 8: total energy -9.135 eV/atom.